DFT (GGA-PBE) results for crystalline Y2CdCoSb at its relaxed geometry.

Cell and atoms, written as POSCAR:
```
Y2CdCoSb
1.0
-2.701 -1.001 -4.321
0.628 -4.665 0.688
-4.382 -0.180 2.781
Cd Y Co Sb
1 2 1 1
direct
0.500 0.500 0.500
0.000 0.000 0.500
0.500 0.000 0.000
0.000 0.000 0.000
0.000 0.500 0.000
```

- V (Å³/f.u.) = 128.3
- spin magnetization (Bohr magnetons per cell) = 0.00
- ρ (Mg/m³) = 6.1
- energy relative to the elements, uncorrected (eV per formula unit) = -1.4
- space-group type = P4/mmm
- Fermi-level density of states (states/eV per cell) = 3.65

=====

DFT (GGA-PBE) results for crystalline Ac2HoReO8 at its relaxed geometry.

Cell and atoms, written as POSCAR:
```
Ac2HoReO8
1.0
-3.807 -1.795 -3.292
2.611 -4.667 -0.254
-3.678 -2.364 5.539
Re Ac O Ho
1 2 8 1
direct
0.000 0.000 0.000
0.502 0.502 0.245
0.498 0.498 0.755
0.170 0.833 0.796
0.252 0.251 0.002
0.830 0.167 0.204
0.707 0.707 0.501
0.833 0.170 0.796
0.293 0.293 0.499
0.167 0.830 0.204
0.748 0.749 0.998
0.000 0.000 0.500
```

- V (Å³/f.u.) = 201.8
- spin magnetization (Bohr magnetons per cell) = 0.00
- ρ (Mg/m³) = 7.7
- energy relative to the elements, uncorrected (eV per formula unit) = -31.9
- space-group type = P-1

=====

DFT (GGA-PBE) results for crystalline Be2InNi at its relaxed geometry.

Cell and atoms, written as POSCAR:
```
Be2InNi
1.0
4.125 0.000 0.000
2.062 3.572 0.000
2.062 1.191 3.368
Be Ni In
2 1 1
direct
0.000 0.000 0.000
0.250 0.250 0.250
0.750 0.750 0.750
0.500 0.500 0.500
```

- V (Å³/f.u.) = 49.6
- spin magnetization (Bohr magnetons per cell) = 0.00
- formation enthalpy at 0 K (meV per atom) = 195
- ρ (Mg/m³) = 6.4
- ΔE to the lowest computed polymorph (eV/f.u.) = 0.583
- space-group type = F-43m
- Fermi-level density of states (states/eV per cell) = 1.08

=====

DFT (GGA-PBE) results for crystalline TlGaSF2 at its relaxed geometry.

Cell and atoms, written as POSCAR:
```
TlGaSF2
1.0
-1.158 -4.044 0.638
4.094 -1.135 0.237
-0.061 0.758 4.696
Tl F Ga S
1 2 1 1
direct
0.500 0.500 0.500
0.000 0.500 0.000
0.500 0.000 0.000
0.000 0.000 0.000
0.000 0.000 0.500
```

- V (Å³/f.u.) = 86.1
- spin magnetization (Bohr magnetons per cell) = 0.00
- ρ (Mg/m³) = 6.6
- energy relative to the elements, uncorrected (eV per formula unit) = -7.2
- space-group type = P4/mmm
- Fermi-level density of states (states/eV per cell) = 1.72

=====

DFT (GGA-PBE) results for crystalline KLiZr2Cu at its relaxed geometry.

Cell and atoms, written as POSCAR:
```
KLiZr2Cu
1.0
-3.034 -3.903 -0.645
3.673 -2.807 -0.289
-0.147 -0.700 4.934
K Zr Cu Li
1 2 1 1
direct
0.500 0.500 0.500
0.000 0.000 0.500
0.500 0.000 0.000
0.000 0.500 0.000
0.000 0.000 0.000
```

- V (Å³/f.u.) = 115.1
- spin magnetization (Bohr magnetons per cell) = 0.00
- formation enthalpy at 0 K (meV per atom) = 1075
- ρ (Mg/m³) = 4.2
- space-group type = P4/mmm
- Fermi-level density of states (states/eV per cell) = 5.69

=====

DFT (GGA-PBE) results for crystalline KSrRe4 at its relaxed geometry.

Cell and atoms, written as POSCAR:
```
KSrRe4
1.0
-1.439 -5.330 0.171
-3.569 -2.017 -3.702
1.758 -3.462 -3.928
Sr K Re
1 1 4
direct
0.750 0.750 0.750
0.000 0.000 0.000
0.375 0.876 0.375
0.876 0.375 0.375
0.375 0.375 0.375
0.375 0.375 0.876
```

- V (Å³/f.u.) = 119.1
- spin magnetization (Bohr magnetons per cell) = 0.00
- formation enthalpy at 0 K (meV per atom) = 971
- ρ (Mg/m³) = 12.1
- space-group type = F-43m
- Fermi-level density of states (states/eV per cell) = 7.28

=====

DFT (GGA-PBE) results for crystalline Ta2VPt2 at its relaxed geometry.

Cell and atoms, written as POSCAR:
```
Ta2VPt2
1.0
7.833 0.000 0.000
0.000 7.833 0.000
0.000 0.000 2.831
Ta Pt V
4 4 2
direct
0.169 0.331 0.000
0.831 0.669 0.000
0.331 0.831 0.000
0.669 0.169 0.000
0.872 0.372 0.500
0.128 0.628 0.500
0.628 0.872 0.500
0.372 0.128 0.500
0.000 0.000 0.000
0.500 0.500 0.000
```

- V (Å³/f.u.) = 86.9
- spin magnetization (Bohr magnetons per cell) = 0.00
- formation enthalpy at 0 K (meV per atom) = -146
- ρ (Mg/m³) = 15.4
- ΔE to the lowest computed polymorph (eV/f.u.) = 0.601
- space-group type = P4/mbm
- Fermi-level density of states (states/eV per cell) = 7.50

=====

DFT (GGA-PBE) results for crystalline YMg4Fe at its relaxed geometry.

Cell and atoms, written as POSCAR:
```
YMg4Fe
1.0
0.000 4.046 4.046
4.046 0.000 4.046
4.046 4.046 0.000
Y Mg Fe
1 4 1
direct
0.750 0.750 0.750
0.877 0.374 0.374
0.374 0.374 0.877
0.374 0.374 0.374
0.374 0.877 0.374
0.000 0.000 0.000
```

- V (Å³/f.u.) = 132.4
- spin magnetization (Bohr magnetons per cell) = 1.28
- formation enthalpy at 0 K (meV per atom) = 277
- ρ (Mg/m³) = 3.0
- space-group type = F-43m
- Fermi-level density of states (states/eV per cell) = 7.04